1.
Below is an optimized crystal structure of PmZrTl2Se4, with properties calculated at the PBE-GGA level.

Space-group type ... P2/m (10)

Lattice parameters (Å, degrees): 4.0259 7.0844 8.2636 105.41 90.00 90.00
With the nearest neighbours (Å) after each atom.
Sites, in units of the cell vectors:
Tl 0.0000 0.5000 0.5000  6 Se 3.22-3.26
Se 0.5000 0.2534 0.2096  1 Zr 2.77, 2 Pm 2.94
Tl 0.5000 0.0000 0.5000  6 Se 3.36-3.41
Se 0.0000 0.7132 0.2009  2 Zr 2.78, 1 Pm 2.95
Zr 0.5000 0.5000 0.0000  6 Se 2.77-2.78
Se 0.5000 0.7466 0.7904  1 Zr 2.77, 2 Pm 2.94
Pm 0.0000 0.0000 0.0000  6 Se 2.94-2.95
Se 0.0000 0.2868 0.7991  2 Zr 2.78, 1 Pm 2.95

***

2.
Below is an optimized crystal structure of AcNdUO6, with properties calculated at the PBE-GGA level.

Space-group type ... P-31c (163)

Lattice parameters (Å, degrees): 6.1611 6.1611 9.2765 90.00 90.00 120.00
With the nearest neighbours (Å) after each atom.
Sites, in units of the cell vectors:
O 0.3184 0.9505 0.6315  1 U 2.11
U 0.3333 0.6667 0.7500  6 O 2.11
O 0.9505 0.6322 0.3685  1 U 2.11
O 0.6322 0.6816 0.6315  1 U 2.11
O 0.9505 0.3184 0.1315  1 U 2.11
O 0.6322 0.9505 0.8685  1 U 2.11
Ac 0.6667 0.3333 0.7500  6 O 2.51
O 0.6816 0.6322 0.1315  1 U 2.11
Nd 0.0000 0.0000 0.5000  6 O 2.46
Nd 0.0000 0.0000 0.0000  6 O 2.46
Ac 0.3333 0.6667 0.2500  6 O 2.51
U 0.6667 0.3333 0.2500  6 O 2.11
O 0.0495 0.6816 0.8685  1 U 2.11
O 0.3678 0.0495 0.1315  1 U 2.11
O 0.3678 0.3184 0.3685  1 U 2.11
O 0.3184 0.3678 0.8685  1 U 2.11
O 0.6816 0.0495 0.3685  1 U 2.11
O 0.0495 0.3678 0.6315  1 U 2.11

***

Computed E (eV/atom) in order:
-5.1404, -8.7758
Computed energy relative to the elements, uncorrected (eV/f.u.) in order:
-9.15, -29.07
Computed volume (Å³/atom) in order:
28.4, 16.9